An optimized crystal structure of ScMoO5. Source: the Alexandria database, functional PBE+U.

Unit cell a=5.344 b=5.344 c=7.532 alpha=69.78 beta=69.78 gamma=71.01
Each line ends with the local moment (μB).
Element x y z (fractional)
O: 0.312 0.714 0.052  0.22
O: 0.688 0.286 0.948  0.22
O: 0.714 0.312 0.552  0.22
O: 0.736 0.786 0.623  0.26
O: 0.264 0.214 0.377  0.26
O: 0.214 0.264 0.877  0.26
O: 0.101 0.899 0.750  0.07
O: 0.786 0.736 0.123  0.26
O: 0.899 0.101 0.250  0.07
O: 0.286 0.688 0.448  0.22
Sc: 0.455 0.545 0.750  -0.03
Sc: 0.545 0.455 0.250  -0.03
Mo: 0.000 0.000 0.000  -0.18
Mo: 0.000 0.000 0.500  -0.18

Properties
- DOS at the Fermi energy (states/eV/cell) = 5.0
- total energy (eV per atom) = -7.42